Entry P
DFT (GGA-PBE) results for crystalline P3Os at its relaxed geometry.

Cell: 4.020 4.020 6.711 Å, 90.00 90.00 90.00°
Space group I4/mmm (No. 139)
Unique sites:
1 P 0.000 0.000 0.000 [2 per cell]
2 P 0.000 0.500 0.250 [4 per cell]
3 Os 0.000 0.000 0.500 [2 per cell]

Summary:
Density of states at the Fermi level ... 0.583 states/eV per atom

---

Entry Q
DFT (GGA-PBE) results for crystalline P3Os at its relaxed geometry.

Cell: 7.0159 7.0159 2.8563 Å, 90.00 90.00 120.00°
Space group P6_3/mmc (No. 194)
Unique sites:
1 P 0.1730 0.3461 0.2500 [6 per cell]
2 Os 0.3333 0.6667 0.7500 [2 per cell]

Summary:
Density of states at the Fermi level ... 0.850 states/eV per atom

---

Entry R
DFT (GGA-PBE) results for crystalline P3Os at its relaxed geometry.

Cell: 2.9082 2.9082 8.4638 Å, 90.00 90.00 120.00°
Space group P-6m2 (No. 187)
Unique sites:
1 P 0.0000 0.0000 0.0000 [1 per cell]
2 P 0.6667 0.3333 0.2905 [2 per cell]
3 Os 0.0000 0.0000 0.5000 [1 per cell]

Summary:
Density of states at the Fermi level ... 0.333 states/eV per atom

---

The most stable arrangement is entry Q, and the next structure is 17.5 kJ/mol of atoms less stable.

---

Entry P
DFT (GGA-PBE) results for crystalline P5Os3 at its relaxed geometry.

Cell: 6.068 8.577 4.145 Å, 90.00 90.00 90.00°
Space group Cmmm (No. 65)
Unique sites:
1 P 0.000 0.000 0.000 [2 per cell]
2 P 0.235 0.500 0.500 [4 per cell]
3 P 0.250 0.250 0.000 [4 per cell]
4 Os 0.000 0.262 0.500 [4 per cell]
5 Os 0.000 0.500 0.000 [2 per cell]

Summary:
Density of states at the Fermi level ... 0.750 states/eV per atom

---

Entry Q
DFT (GGA-PBE) results for crystalline P5Os3 at its relaxed geometry.

Cell: 7.181 12.018 12.046 Å, 90.00 90.00 90.00°
Space group Fmmm (No. 69)
Unique sites:
1 P 0.000 0.113 0.207 [16 per cell]
2 P 0.000 0.207 0.386 [16 per cell]
3 P 0.250 0.000 0.000 [8 per cell]
4 Os 0.000 0.000 0.382 [8 per cell]
5 Os 0.000 0.119 0.000 [8 per cell]
6 Os 0.250 0.250 0.250 [8 per cell]

Summary:
Density of states at the Fermi level ... 0.446 states/eV per atom

---

Entry R
DFT (GGA-PBE) results for crystalline P5Os3 at its relaxed geometry.

Cell: 7.5558 7.5558 4.6725 Å, 90.00 90.00 120.00°
Space group P6_3/mcm (No. 193)
Unique sites:
1 P 0.0000 0.2712 0.2500 [6 per cell]
2 P 0.3333 0.6667 0.0000 [4 per cell]
3 Os 0.0000 0.3677 0.7500 [6 per cell]

Summary:
Density of states at the Fermi level ... 0.913 states/eV per atom

---

The most stable arrangement is entry Q, and the next structure is 18.5 kJ/mol of atoms less stable.

---

Entry P
DFT (GGA-PBE) results for crystalline POs3 at its relaxed geometry.

Cell: 2.780 3.900 5.559 Å, 90.00 90.00 90.00°
Space group Pmm2 (No. 25)
Unique sites:
1 P 0.000 0.000 0.000 [1 per cell]
2 Os 0.000 0.500 0.543 [1 per cell]
3 Os 0.500 0.000 0.347 [1 per cell]
4 Os 0.500 0.500 0.946 [1 per cell]

Summary:
Density of states at the Fermi level ... 0.384 states/eV per atom

---

Entry Q
DFT (GGA-PBE) results for crystalline POs3 at its relaxed geometry.

Cell: 2.851 4.338 8.849 Å, 90.00 90.00 90.00°
Space group Immm (No. 71)
Unique sites:
1 P 0.000 0.000 0.000 [2 per cell]
2 Os 0.000 0.000 0.500 [2 per cell]
3 Os 0.000 0.500 0.286 [4 per cell]

Summary:
Density of states at the Fermi level ... 0.521 states/eV per atom

---

Entry R
DFT (GGA-PBE) results for crystalline POs3 at its relaxed geometry.

Cell: 5.6813 5.6813 4.0200 Å, 90.00 90.00 120.00°
Space group P6_3/mmc (No. 194)
Unique sites:
1 P 0.3333 0.6667 0.2500 [2 per cell]
2 Os 0.1739 0.3478 0.7500 [6 per cell]

Summary:
Density of states at the Fermi level ... 0.619 states/eV per atom

---

The most stable arrangement is entry Q, and the next structure is 16.8 kJ/mol of atoms less stable.

---

Entry P
DFT (GGA-PBE) results for crystalline POs3 at its relaxed geometry.

Cell: 9.399 2.832 4.317 Å, 90.00 90.07 90.00°
Space group C2/m (No. 12)
Unique sites:
1 P 0.000 0.000 0.000 [2 per cell]
2 Os 0.000 0.500 0.500 [2 per cell]
3 Os 0.218 0.000 0.742 [4 per cell]

Summary:
Density of states at the Fermi level ... 0.668 states/eV per atom

---

Entry Q
DFT (GGA-PBE) results for crystalline POs3 at its relaxed geometry.

Cell: 6.789 8.069 4.288 Å, 90.00 90.00 90.00°
Space group Cmcm (No. 63)
Unique sites:
1 P 0.000 0.130 0.250 [4 per cell]
2 Os 0.000 0.272 0.750 [4 per cell]
3 Os 0.209 0.423 0.250 [8 per cell]

Summary:
Density of states at the Fermi level ... 0.726 states/eV per atom

---

Entry R
DFT (GGA-PBE) results for crystalline POs3 at its relaxed geometry.

Cell: 2.799 3.724 5.370 Å, 90.00 90.00 90.00°
Space group Pmmm (No. 47)
Unique sites:
1 P 0.000 0.000 0.000 [1 per cell]
2 Os 0.000 0.000 0.500 [1 per cell]
3 Os 0.500 0.500 0.246 [2 per cell]

Summary:
Density of states at the Fermi level ... 1.189 states/eV per atom

---

The most stable arrangement is entry P, and the next structure is 14.2 kJ/mol of atoms less stable.